The following is a PBEsol calculation of an optimized crystal structure of AlSi2Hg, from the Alexandria database.

a = 2.765 Å, b = 2.765 Å, c = 9.416 Å
α = 90.00°, β = 90.00°, γ = 89.92°
Positions (direct):
Si 0.000 0.000 0.294
Si 0.000 0.000 0.706
Hg 0.500 0.500 0.000
Al 0.500 0.500 0.500

Properties
- Offset from the most stable computed form: 0 meV per atom
- Formation energy without anion corrections: 0.32 eV/atom
- Space group: P4/mmm (123)
- V: 71.99 Å³ per cell
- Calculated total energy: -14.86 eV/cell